[1]
Entry from the Alexandria database: a geometry-optimized LaCe6Th8 structure (PBE-GGA).

Values from the calculation:
For the total energy, the calculation gives -6.515 eV/atom. Its space group is R-3. For the energy of formation, the calculation gives 0.14 eV/atom.

Cell lengths 8.596, 8.596, 8.596 Å; angles 61.50, 61.50, 61.50 degrees
Fractional positions:
La1 0.000 0.000 0.000
Ce1 0.055 0.526 0.306
Ce2 0.306 0.055 0.526
Ce3 0.474 0.694 0.945
Ce4 0.526 0.306 0.055
Ce5 0.694 0.945 0.474
Ce6 0.945 0.474 0.694
Th1 0.122 0.656 0.816
Th2 0.184 0.878 0.344
Th3 0.344 0.184 0.878
Th4 0.419 0.419 0.419
Th5 0.581 0.581 0.581
Th6 0.656 0.816 0.122
Th7 0.816 0.122 0.656
Th8 0.878 0.344 0.184

[2]
Entry from the Alexandria database: a geometry-optimized LaCe2Th3 structure (PBE-GGA).

Values from the calculation:
For the total energy, the calculation gives -6.475 eV/atom. Its space group is P4/mmm. For the energy of formation, the calculation gives 0.03 eV/atom.

Cell lengths 3.516, 3.516, 14.997 Å; angles 90.00, 90.00, 90.00 degrees
Fractional positions:
La1 0.000 0.000 0.000
Ce1 0.000 0.000 0.340
Ce2 0.000 0.000 0.660
Th1 0.500 0.500 0.178
Th2 0.500 0.500 0.500
Th3 0.500 0.500 0.822

[3]
Entry from the Alexandria database: a geometry-optimized La2Ce4Th structure (PBE-GGA).

Values from the calculation:
For the total energy, the calculation gives -5.778 eV/atom. Its space group is Cmmm. For the energy of formation, the calculation gives 0.08 eV/atom.

Cell lengths 12.721, 12.721, 3.467 Å; angles 90.00, 90.00, 157.87 degrees
Fractional positions:
La1 0.205 0.795 0.000
La2 0.795 0.205 0.000
Ce1 0.068 0.932 0.000
Ce2 0.364 0.636 0.500
Ce3 0.636 0.364 0.500
Ce4 0.932 0.068 0.000
Th1 0.500 0.500 0.500

[4]
Entry from the Alexandria database: a geometry-optimized LaCe4Th5 structure (PBE-GGA).

Values from the calculation:
For the total energy, the calculation gives -6.554 eV/atom. Its space group is P4/mmm. For the energy of formation, the calculation gives 0.02 eV/atom.

Cell lengths 3.508, 3.508, 24.633 Å; angles 90.00, 90.00, 90.00 degrees
Fractional positions:
La1 0.000 0.000 0.000
Ce1 0.000 0.000 0.207
Ce2 0.000 0.000 0.402
Ce3 0.000 0.000 0.598
Ce4 0.000 0.000 0.793
Th1 0.500 0.500 0.108
Th2 0.500 0.500 0.304
Th3 0.500 0.500 0.500
Th4 0.500 0.500 0.696
Th5 0.500 0.500 0.892

[5]
Entry from the Alexandria database: a geometry-optimized La4CeTh3 structure (PBE-GGA).

Values from the calculation:
For the total energy, the calculation gives -5.967 eV/atom. Its space group is Pmmn. For the energy of formation, the calculation gives 0.02 eV/atom.

Cell lengths 5.082, 10.163, 10.394 Å; angles 90.00, 90.00, 90.00 degrees
Fractional positions:
La1 0.250 0.001 0.142
La2 0.250 0.250 0.858
La3 0.250 0.499 0.142
La4 0.250 0.750 0.857
La5 0.750 0.250 0.143
La6 0.750 0.501 0.858
La7 0.750 0.750 0.142
La8 0.750 0.999 0.858
Ce1 0.250 0.250 0.389
Ce2 0.750 0.750 0.611
Th1 0.250 0.000 0.614
Th2 0.250 0.500 0.614
Th3 0.250 0.750 0.386
Th4 0.750 0.000 0.386
Th5 0.750 0.250 0.614
Th6 0.750 0.500 0.386

[6]
Entry from the Alexandria database: a geometry-optimized LaCe5Th4 structure (PBE-GGA).

Values from the calculation:
For the total energy, the calculation gives -6.402 eV/atom. Its space group is P4/mmm. For the energy of formation, the calculation gives 0.03 eV/atom.

Cell lengths 3.496, 3.496, 24.416 Å; angles 90.00, 90.00, 90.00 degrees
Fractional positions:
La1 0.000 0.000 0.000
Ce1 0.500 0.500 0.106
Ce2 0.500 0.500 0.302
Ce3 0.500 0.500 0.500
Ce4 0.500 0.500 0.698
Ce5 0.500 0.500 0.894
Th1 0.000 0.000 0.203
Th2 0.000 0.000 0.401
Th3 0.000 0.000 0.599
Th4 0.000 0.000 0.797

[7]
Entry from the Alexandria database: a geometry-optimized LaCeTh2 structure (PBE-GGA).

Values from the calculation:
For the total energy, the calculation gives -6.227 eV/atom. Its space group is R-3m. For the energy of formation, the calculation gives 0.20 eV/atom. Its relative energy among the computed polymorphs is 142 meV/atom.

Cell lengths 12.463, 12.463, 12.463 Å; angles 16.13, 16.13, 16.13 degrees
Fractional positions:
La1 0.000 0.000 0.000
Ce1 0.500 0.500 0.500
Th1 0.090 0.090 0.090
Th2 0.910 0.910 0.910

[8]
Entry from the Alexandria database: a geometry-optimized La2CeTh12 structure (PBE-GGA).

Values from the calculation:
For the total energy, the calculation gives -6.755 eV/atom. Its space group is Pmmm. For the energy of formation, the calculation gives 0.23 eV/atom.

Cell lengths 3.478, 5.809, 24.988 Å; angles 90.00, 90.00, 90.00 degrees
Fractional positions:
La1 0.000 0.000 0.234
La2 0.000 0.000 0.766
Ce1 0.000 0.000 0.500
Th1 0.000 0.500 0.063
Th2 0.000 0.500 0.432
Th3 0.000 0.500 0.568
Th4 0.000 0.500 0.937
Th5 0.500 0.000 0.080
Th6 0.500 0.000 0.377
Th7 0.500 0.000 0.623
Th8 0.500 0.000 0.920
Th9 0.500 0.500 0.178
Th10 0.500 0.500 0.309
Th11 0.500 0.500 0.691
Th12 0.500 0.500 0.822